i) Density functional theory data (PBE) for crystalline Pr4Dy4Tm at its relaxed geometry.

Geometry as extended XYZ:
```
9
Lattice="8.455 -2.812 0.000 8.455 2.812 0.000 -2.713 0.000 6.368" Properties=species:S:1:pos:R:3 pbc="T T T"
Pr 1.002 0.000 2.909
Pr 4.177 0.000 1.350
Pr 10.019 0.000 5.017
Pr 13.194 0.000 3.459
Dy -1.153 0.000 5.546
Dy 4.162 0.000 5.279
Dy 10.034 0.000 1.089
Dy 15.349 0.000 0.822
Tm 7.098 0.000 3.184
```

Output
Magnetization (μB per cell): 0.00

***

ii) Density functional theory data (PBE) for crystalline Pr4Dy4Tm at its relaxed geometry.

Geometry as extended XYZ:
```
9
Lattice="-5.427 5.427 2.543 5.427 -5.427 2.543 5.427 5.427 -2.543" Properties=species:S:1:pos:R:3 pbc="T T T"
Pr 1.805 1.805 0.000
Pr 3.622 -3.622 2.543
Pr -3.622 3.622 2.543
Pr 3.622 3.622 2.543
Dy 5.427 1.792 0.000
Dy 1.792 5.427 0.000
Dy 3.635 0.000 2.543
Dy 0.000 3.635 2.543
Tm 0.000 0.000 2.543
```

Output
Magnetization (μB per cell): 0.00

***

Most stable structure: ii)